PrY2TmSc4 | PBE | optimized geometry

Lattice parameters (Å, degrees): 13.079 12.664 6.559 90.00 120.09 90.00
Space group C2/c (No. 15)
Symmetry-distinct sites (fractional):
Pr: 0.000 0.000 0.000 [4 per cell]
Y: 0.000 0.500 0.000 [4 per cell]
Y: 0.250 0.250 0.000 [4 per cell]
Tm: 0.250 0.250 0.500 [4 per cell]
Sc: 0.000 0.251 0.002 [8 per cell]
Sc: 0.249 0.002 0.498 [8 per cell]

Output
E_form, eV/f.u.: 3.5
Crystal system: monoclinic



PuNbI | PBE | optimized geometry

Lattice parameters (Å, degrees): 20.829 3.823 4.780 90.00 95.99 90.00
Space group Cm (No. 8)
Symmetry-distinct sites (fractional):
Pu: 0.000 0.000 0.000 [2 per cell]
Pu: 0.124 0.500 0.078 [2 per cell]
Nb: 0.019 0.500 0.509 [2 per cell]
Nb: 0.116 0.000 0.567 [2 per cell]
I: 0.232 0.500 0.627 [2 per cell]
I: 0.389 0.000 0.202 [2 per cell]

Output
Crystal system: monoclinic
Formation energy (no corrections), eV/atom: -0.047



Pr2YNi | PBE | optimized geometry

Lattice parameters (Å, degrees): 3.8726 3.8726 27.9327 90.00 90.00 120.00
Space group R3m (No. 160, hexagonal axes)
Symmetry-distinct sites (fractional):
Pr: 0.0000 0.0000 0.0000 [3 per cell]
Pr: 0.0000 0.0000 0.2106 [3 per cell]
Y: 0.0000 0.0000 0.4388 [3 per cell]
Ni: 0.0000 0.0000 0.6050 [3 per cell]

Output
Energy above the most stable polymorph in this dataset, eV per atom: 0.162
E_form, eV/f.u.: -0.1
Crystal system: trigonal



NiRu3Rh | PBE | optimized geometry

Lattice parameters (Å, degrees): 4.364 4.364 4.364 90.00 90.00 90.00
Space group Pm-3m (No. 221)
Symmetry-distinct sites (fractional):
Ni: 0.000 0.000 0.000 [1 per cell]
Ru: 0.000 0.000 0.500 [3 per cell]
Rh: 0.500 0.500 0.500 [1 per cell]

Output
Energy above the most stable polymorph in this dataset, eV per atom: 1.341
E_form, eV/f.u.: 7.9
Crystal system: cubic



Ho2ZrCo | PBE | optimized geometry

Lattice parameters (Å, degrees): 3.363 3.363 8.004 90.00 90.00 90.00
Space group P4/mmm (No. 123)
Symmetry-distinct sites (fractional):
Ho: 0.000 0.000 0.203 [2 per cell]
Zr: 0.500 0.500 0.500 [1 per cell]
Co: 0.500 0.500 0.000 [1 per cell]

Output
Energy above the most stable polymorph in this dataset, eV per atom: 0.132
E_form, eV/f.u.: 0.0
Crystal system: tetragonal



CdSe2BrCl | PBE | optimized geometry

Lattice parameters (Å, degrees): 5.115 5.115 5.173 90.00 90.00 90.00
Space group P4/mmm (No. 123)
Symmetry-distinct sites (fractional):
Cd: 0.000 0.000 0.000 [1 per cell]
Se: 0.000 0.500 0.500 [2 per cell]
Br: 0.500 0.500 0.000 [1 per cell]
Cl: 0.500 0.500 0.500 [1 per cell]

Output
Energy above the most stable polymorph in this dataset, eV per atom: 0.183
Crystal system: tetragonal
Formation energy (no corrections), eV/atom: 0.596



GaP2Pd2 | PBE | optimized geometry

Lattice parameters (Å, degrees): 4.293 4.293 9.088 90.00 90.00 90.00
Space group I4/mmm (No. 139)
Symmetry-distinct sites (fractional):
Ga: 0.000 0.000 0.000 [2 per cell]
P: 0.000 0.000 0.382 [4 per cell]
Pd: 0.000 0.500 0.250 [4 per cell]

Output
Energy above the most stable polymorph in this dataset, eV per atom: 0.000
E_form, eV/f.u.: -1.1
Crystal system: tetragonal



Mn2CdPb | PBE | optimized geometry

Lattice parameters (Å, degrees): 7.590 7.590 5.931 90.00 90.00 90.00
Space group I-42d (No. 122)
Symmetry-distinct sites (fractional):
Mn: 0.245 0.250 0.125 [8 per cell]
Cd: 0.000 0.000 0.000 [4 per cell]
Pb: 0.000 0.000 0.500 [4 per cell]

Output
E_form, eV/f.u.: 2.6
Crystal system: tetragonal



| no. | energy (Ry/atom) | calculated density (g/cm3) |
| --- | --- | --- |
| 1 | -0.4046 | 4.7 |
| 2 | -0.6392 | 8.1 |
| 3 | -0.4018 | 5.9 |
| 4 | -0.4864 | 9.3 |
| 5 | -0.4566 | 8.8 |
| 6 | -0.1239 | 4.7 |
| 7 | -0.3719 | 6.8 |
| 8 | -0.3738 | 8.3 |